(1)
The following is a SCAN calculation of a PBEsol-optimized structure of CuBi12Ir3, from Alexandria.

```
CuBi12Ir3
1.0
4.2101 0.0000 0.0000
0.0000 8.8845 0.0619
0.0000 0.0262 11.3967
Ir Bi Cu
3 12 1
direct
0.5000 0.8922 0.5232
0.0000 0.5918 0.0163
0.0000 0.0960 0.4776
0.5000 0.0844 0.3164
0.0000 0.8951 0.0872
0.5000 0.1065 0.9111
0.0000 0.3901 0.4006
0.5000 0.2010 0.6128
0.0000 0.9081 0.6844
0.0000 0.3052 0.1188
0.5000 0.6067 0.1815
0.0000 0.7867 0.3912
0.0000 0.4166 0.8131
0.5000 0.5971 0.6031
0.5000 0.7158 0.8849
0.5000 0.4066 0.9778
```

Summary:
The value obtained for the uncorrected energy is -73.12 eV/atom. For the energy of formation, the calculation gives 0.092 eV/atom. The magnetization is 0.00 μB/atom. The calculated volume is 26.64 A^3/atom.

---

(2)
The following is a SCAN calculation of a PBEsol-optimized structure of TaSi3Ag, from Alexandria.

```
TaSi3Ag
1.0
-0.5157 1.6406 4.5050
-4.5787 -1.5125 0.0266
1.4221 -4.2747 1.7196
Ta Ag Si
1 1 3
direct
0.0000 0.0000 0.0000
0.5000 0.5000 0.5000
0.5000 0.0000 0.0000
0.0000 0.5000 0.0000
0.0000 0.0000 0.5000
```

Summary:
The value obtained for the uncorrected energy is -24.74 eV/atom. The magnetization is 0.00 μB/atom. The value obtained for the formation energy without anion corrections is 0.857 eV/atom. The calculated volume is 22.43 A^3/atom.

---

(3)
The following is a SCAN calculation of a PBEsol-optimized structure of Hf3AsF, from Alexandria.

```
Hf3AsF
1.0
-0.8492 4.3132 0.0603
-0.9893 -0.2545 4.2761
4.1986 0.8124 1.0197
Hf As F
3 1 1
direct
0.0000 0.0000 0.5000
0.5000 0.0000 0.0000
0.0000 0.5000 0.0000
0.5000 0.5000 0.5000
0.0000 0.0000 0.0000
```

Summary:
The value obtained for the uncorrected energy is -42.82 eV/atom. The magnetization is 0.22 μB/atom. The value obtained for the formation energy without anion corrections is -0.475 eV/atom. The calculated volume is 16.99 A^3/atom.